Entry from the Alexandria database: an optimized crystal structure of CuBiN2F (PBE).

abc: 4.3488 4.3488 4.3946
angles: 90.00 90.00 90.00
Each line ends with the local moment (μB).
Fractional coordinates of all 5 atoms:
Bi (0.0000, 0.0000, 0.0000)  -0.04
N (0.0000, 0.5000, 0.0000)  0.51
Cu (0.5000, 0.5000, 0.5000)  0.16
N (0.5000, 0.0000, 0.0000)  0.51
F (0.0000, 0.0000, 0.5000)  -0.01

Results
- total moment (μB per atom) = 0.30
- formation energy (no corrections) (meV per atom) = 1067
- offset from the most stable computed form (eV per atom) = 0.545